# 1
The following is a DFT calculation (PBE) of a relaxed structure of LiNd2SbS5.

Results
volume: 409 Å³/cell
total DFT energy (no corrections): -5.338 eV per atom
energy relative to the elements, uncorrected: -1.315 eV/atom
total moment: 0.000 μB per atom
space group: Cmc2_1

Geometry as extended XYZ:
```
18
Lattice="2.021 -8.149 0.000 2.021 8.149 0.000 0.000 0.000 12.427" Properties=species:S:1:pos:R:3 pbc="T T T"
Li 2.021 4.698 6.213
Li 2.021 -4.698 0.000
Nd 2.021 6.292 2.099
Nd 2.021 5.713 9.564
Nd 2.021 -5.713 3.350
Nd 2.021 -6.292 8.312
Sb 2.021 0.519 11.618
Sb 2.021 -0.519 5.405
S 2.021 7.308 7.029
S 2.021 3.538 1.664
S 2.021 2.907 10.200
S 2.021 2.146 5.871
S 2.021 0.247 2.937
S 2.021 -0.247 9.151
S 2.021 -2.146 12.084
S 2.021 -2.907 3.987
S 2.021 -3.538 7.877
S 2.021 -7.308 0.816
```



# 2
The following is a DFT calculation (PBE) of a relaxed structure of Tb4Mg5Tc2.

Results
volume: 285 Å³/cell
formation energy: -0.010 eV per atom
total DFT energy (no corrections): -4.303 eV per atom
total moment: 0.000 μB per atom
space group: P2/m

Geometry as extended XYZ:
```
11
Lattice="7.678 0.000 0.000 0.000 4.079 0.000 -1.088 0.000 9.105" Properties=species:S:1:pos:R:3 pbc="T T T"
Tb 1.069 0.000 2.995
Tb 0.657 0.000 8.463
Tb 5.933 0.000 0.643
Tb 5.520 0.000 6.110
Mg 0.512 2.040 5.770
Mg 3.229 2.040 1.488
Mg 3.295 2.040 4.553
Mg 3.360 2.040 7.617
Mg 6.077 2.040 3.335
Tc 0.246 2.040 1.192
Tc 6.343 2.040 7.914
```



# 3
The following is a DFT calculation (PBE) of a relaxed structure of CuBiAu3.

Results
volume: 203 Å³/cell
formation energy: 0.071 eV per atom
total DFT energy (no corrections): -3.491 eV per atom
total moment: 0.000 μB per atom
ΔE to the lowest computed polymorph: 0 meV per atom
space group: P6_3/mmc

Geometry as extended XYZ:
```
10
Lattice="6.673 0.000 0.000 -3.337 5.779 0.000 0.000 0.000 5.266" Properties=species:S:1:pos:R:3 pbc="T T T"
Cu 0.000 0.000 0.000
Cu 0.000 0.000 2.633
Bi 0.000 3.853 1.317
Bi 3.337 1.926 3.950
Au 0.000 2.206 3.950
Au -1.426 4.676 3.950
Au 1.911 1.103 1.317
Au 1.426 4.676 3.950
Au 4.762 1.103 1.317
Au 3.337 3.573 1.317
```



# 4
The following is a DFT calculation (PBE) of a relaxed structure of VSnPt3.

Results
volume: 118 Å³/cell
formation energy: 1.017 eV per atom
total DFT energy (no corrections): -5.232 eV per atom
total moment: 0.661 μB per atom
ΔE to the lowest computed polymorph: 534 meV per atom
space group: Pm-3m

Geometry as extended XYZ:
```
5
Lattice="4.910 0.000 0.000 0.000 4.910 0.000 0.000 0.000 4.910" Properties=species:S:1:pos:R:3 pbc="T T T"
V 0.000 0.000 0.000
Sn 2.455 2.455 2.455
Pt 0.000 2.455 2.455
Pt 2.455 0.000 2.455
Pt 2.455 2.455 0.000
```



# 5
The following is a DFT calculation (PBE) of a relaxed structure of Pm2HoAl4Pt3.

Results
volume: 208 Å³/cell
formation energy: -0.921 eV per atom
total DFT energy (no corrections): -5.639 eV per atom
total moment: 0.000 μB per atom
space group: P-4m2

Geometry as extended XYZ:
```
10
Lattice="4.249 0.000 0.000 0.000 4.249 0.000 0.000 0.000 11.540" Properties=species:S:1:pos:R:3 pbc="T T T"
Pm 0.000 2.125 2.630
Pm 2.125 0.000 8.910
Ho 0.000 0.000 5.770
Al 0.000 0.000 0.000
Al 0.000 2.125 7.701
Al 2.125 0.000 3.839
Al 2.125 2.125 0.000
Pt 0.000 2.125 10.144
Pt 2.125 0.000 1.396
Pt 2.125 2.125 5.770
```



# 6
The following is a DFT calculation (PBE) of a relaxed structure of ErTlRh4.

Results
volume: 105 Å³/cell
formation energy: -0.370 eV per atom
total DFT energy (no corrections): -6.425 eV per atom
total moment: 0.000 μB per atom
space group: F-43m

Geometry as extended XYZ:
```
6
Lattice="0.000 3.744 3.744 3.744 0.000 3.744 3.744 3.744 0.000" Properties=species:S:1:pos:R:3 pbc="T T T"
Er 0.000 0.000 0.000
Tl 5.616 5.616 5.616
Rh 2.811 2.811 2.811
Rh 4.677 4.677 2.811
Rh 4.677 2.811 4.677
Rh 2.811 4.677 4.677
```



# 7
The following is a DFT calculation (PBE) of a relaxed structure of LiHfAu2.

Results
volume: 71 Å³/cell
formation energy: -0.520 eV per atom
total DFT energy (no corrections): -5.126 eV per atom
total moment: 0.000 μB per atom
space group: Fm-3m

Geometry as extended XYZ:
```
4
Lattice="0.000 3.287 3.287 3.287 0.000 3.287 3.287 3.287 0.000" Properties=species:S:1:pos:R:3 pbc="T T T"
Li 0.000 0.000 0.000
Hf 3.287 3.287 3.287
Au 1.644 1.644 1.644
Au 4.931 4.931 4.931
```



# 8
The following is a DFT calculation (PBE) of a relaxed structure of Tb6RuRh2.

Results
volume: 468 Å³/cell
formation energy: -0.498 eV per atom
total DFT energy (no corrections): -6.249 eV per atom
total moment: 0.000 μB per atom
space group: P2_1/c

Geometry as extended XYZ:
```
18
Lattice="6.603 0.000 0.000 0.000 7.305 0.000 -6.248 0.000 9.710" Properties=species:S:1:pos:R:3 pbc="T T T"
Tb -0.964 0.278 2.368
Tb -4.088 3.375 7.223
Tb 1.039 4.877 0.729
Tb -2.085 6.081 5.584
Tb 2.161 1.275 0.677
Tb -0.963 2.377 5.532
Tb 1.318 4.928 4.178
Tb -1.807 6.030 9.033
Tb 2.439 1.225 4.126
Tb -0.685 2.428 8.981
Tb 4.443 3.931 2.487
Tb 1.319 7.027 7.342
Ru 0.177 0.000 4.855
Ru 3.301 3.653 0.000
Rh -2.754 0.959 7.595
Rh 0.370 2.693 2.740
Rh -0.016 4.612 6.970
Rh 3.108 6.346 2.115
```



# 9
The following is a DFT calculation (PBE) of a relaxed structure of SrZnGaAu6.

Results
volume: 380 Å³/cell
formation energy: -0.246 eV per atom
total DFT energy (no corrections): -3.095 eV per atom
total moment: 0.000 μB per atom
space group: Imma

Geometry as extended XYZ:
```
18
Lattice="-3.739 4.664 5.451 3.739 -4.664 5.451 3.739 4.664 -5.451" Properties=species:S:1:pos:R:3 pbc="T T T"
Sr 0.000 2.332 2.353
Sr 3.739 2.332 3.097
Zn 1.870 2.332 -2.725
Zn 1.870 -2.332 2.725
Ga 0.000 0.000 0.000
Ga 0.000 4.664 0.000
Au 2.282 -0.002 1.395
Au 5.196 -0.002 1.395
Au 3.739 -2.332 4.490
Au 3.739 2.332 -0.185
Au 2.282 4.662 -1.395
Au 1.457 -0.002 4.056
Au 2.282 4.667 1.395
Au 1.457 0.002 6.846
Au 0.000 2.332 5.636
Au 0.000 6.997 0.961
Au -1.457 4.667 4.056
Au 1.457 4.667 4.056
```



# 10
The following is a DFT calculation (PBE) of a relaxed structure of Ba2YRh.

Results
volume: 157 Å³/cell
formation energy: -0.244 eV per atom
total DFT energy (no corrections): -4.659 eV per atom
total moment: 0.000 μB per atom
ΔE to the lowest computed polymorph: 0 meV per atom
space group: Pm

Geometry as extended XYZ:
```
4
Lattice="4.193 0.000 0.000 0.000 3.900 0.000 -2.087 0.000 9.594" Properties=species:S:1:pos:R:3 pbc="T T T"
Ba 0.000 0.000 0.000
Ba -0.004 1.950 5.859
Y 2.096 1.950 2.757
Rh -0.001 0.000 3.150
```



# 11
The following is a DFT calculation (PBE) of a relaxed structure of MoAu2Br.

Results
volume: 75 Å³/cell
total DFT energy (no corrections): -4.247 eV per atom
energy relative to the elements, uncorrected: 0.518 eV/atom
total moment: 0.000 μB per atom
ΔE to the lowest computed polymorph: 296 meV per atom
space group: Cm

Geometry as extended XYZ:
```
4
Lattice="4.391 -1.518 0.000 4.391 1.518 0.000 -0.964 0.000 5.662" Properties=species:S:1:pos:R:3 pbc="T T T"
Mo 0.000 0.000 0.000
Au 1.583 0.000 4.147
Au 3.991 0.000 2.815
Br 6.247 0.000 1.060
```



# 12
The following is a DFT calculation (PBE) of a relaxed structure of LiTh2In3.

Results
volume: 314 Å³/cell
formation energy: -0.288 eV per atom
total DFT energy (no corrections): -4.449 eV per atom
total moment: 0.000 μB per atom
space group: Fmmm

Geometry as extended XYZ:
```
12
Lattice="0.000 4.950 8.573 3.697 0.000 8.573 3.697 4.950 0.000" Properties=species:S:1:pos:R:3 pbc="T T T"
Li 3.697 4.950 2.872
Li 3.697 4.950 14.275
Th 1.849 2.475 4.287
Th 5.516 4.950 8.573
Th 1.878 4.950 8.573
Th 5.546 7.425 12.860
In 3.697 2.391 7.098
In 3.697 2.391 10.049
In 3.697 4.950 5.638
In 3.697 4.950 11.509
In 3.697 7.509 7.098
In 3.697 7.509 10.049
```